1.
Ca2GeAsH: optimized geometry, PBE.

a = 5.752 Å, b = 3.497 Å, c = 5.752 Å
α = 90.00°, β = 90.00°, γ = 90.00°
Sites, in units of the cell vectors:
As 0.000 0.000 0.000
H 0.000 0.500 0.000
Ca 0.500 0.000 0.000
Ca 0.000 0.000 0.500
Ge 0.500 0.500 0.500


2.
CaHfGeAs2: optimized geometry, PBE.

## Properties
Energy relative to the elements (eV/atom): 0.65

a = 5.043 Å, b = 5.079 Å, c = 5.043 Å
α = 90.00°, β = 90.00°, γ = 90.00°
Sites, in units of the cell vectors:
As 0.500 0.000 0.000
As 0.000 0.000 0.500
Ge 0.000 0.000 0.000
Hf 0.500 0.500 0.500
Ca 0.000 0.500 0.000


Let's list D(E_F) in order: 5.065, 3.362 states/eV/f.u..
Let's list total DFT energy (no corrections) in order: -17.80, -22.65 eV for the cell shown.